! MnTcPb2O6, optimized geometry, DFT PBE+U; values from VASP
&SYSTEM
  ibrav = 0, nat = 20, ntyp = 4
/
ATOMIC_SPECIES
Mn 54.94 Mn.upf
Tc 98.00 Tc.upf
Pb 207.20 Pb.upf
O 16.00 O.upf
ATOMIC_POSITIONS angstrom
Mn -1.869 0.762 -2.027
Mn -1.130 4.100 2.585
Tc -0.918 4.658 -1.436
Tc -2.080 0.205 1.994
Pb -3.565 2.364 4.124
Pb -2.686 6.845 0.965
Pb -2.431 7.361 -3.008
Pb -3.311 2.880 0.151
O -3.850 0.997 1.724
O -5.200 5.697 0.702
O -2.146 8.729 -0.609
O -0.796 4.028 0.414
O -3.298 4.332 2.204
O -4.403 9.009 0.947
O -2.698 5.393 -1.088
O -1.593 0.717 0.169
O -5.174 3.452 -1.387
O -4.257 6.772 3.054
O -0.822 6.273 2.503
O -1.740 2.953 -1.938
CELL_PARAMETERS angstrom
-3.737 1.525 -4.054
-4.160 0.410 3.988
1.901 7.791 1.182
! SG = P2_1/c
! Electronic total energy = -6.826 eV/atom
! M_tot = 5.97 μB/f.u.
! Crystal system = monoclinic